Here is a relaxed structure of MoAsP2O from the Alexandria database. Energies are from PBE with a Hubbard U.

extended XYZ file:
```
5
Lattice="4.904 0.000 0.000 0.000 4.904 0.000 0.000 0.000 3.765" Properties=species:S:1:pos:R:3 pbc="T T T"
P 0.000 2.452 0.000
P 2.452 0.000 0.000
Mo 0.000 0.000 0.000
As 2.452 2.452 1.883
O 0.000 0.000 1.883
```

Results
size of the total moment	0.8	μB per cell
calculated total energy	-5.31	eV/atom
mass density	4.56	Mg/m³
excess energy over the best structure of this formula in the dataset	0	meV/atom
crystal system	tetragonal